a.
Below is a relaxed TmScGaIr crystal, with properties calculated at the PBE-GGA level.

a = 3.3959 Å, b = 3.3959 Å, c = 6.7302 Å
α = 90.00°, β = 90.00°, γ = 90.00°
Atoms (fractional coordinates):
Ga 0.5000 0.5000 0.5845
Tm 0.0000 0.0000 0.8736
Sc 0.0000 0.0000 0.3418
Ir 0.5000 0.5000 0.1280

Calculated values
Its volume is 77.6 Å³/cell. For the magnetization, the calculation gives 0.0 μB per formula unit. The space group is P4mm, No. 99.

=====

b.
Below is a relaxed TmScGaIr crystal, with properties calculated at the PBE-GGA level.

a = 4.7779 Å, b = 4.7779 Å, c = 4.7779 Å
α = 60.00°, β = 60.00°, γ = 60.00°
Atoms (fractional coordinates):
Ir 0.7500 0.7500 0.7500
Sc 0.5000 0.5000 0.5000
Ga 0.2500 0.2500 0.2500
Tm 0.0000 0.0000 0.0000

Calculated values
Its volume is 77.1 Å³/cell. For the magnetization, the calculation gives 0.0 μB per formula unit. The space group is F-43m, No. 216.

=====

Which of them is most stable? Easy: a.